Record 1
# La2ScMn

A relaxed La2ScMn crystal (PBE, Alexandria via LeMat-Bulk).

abc: 10.5215 10.5215 10.5215
angles: 19.35 19.35 19.35
Last column: nearest neighbours and their distance in Å.
Fractional positions:
La 0.9918 0.9918 0.9918  3 Mn 3.09
La 0.5082 0.5082 0.5082  3 Mn 3.09
Mn 0.2500 0.2500 0.2500  6 La 3.09
Sc 0.7500 0.7500 0.7500  6 La 3.49, 6 Sc 3.54

Properties
energy of formation	0.3132	eV per atom
energy above the most stable polymorph in this dataset	162	meV/atom

Record 2
# La2ScMn

A relaxed La2ScMn crystal (PBE, Alexandria via LeMat-Bulk).

abc: 6.4372 6.4372 6.4372
angles: 146.56 130.18 61.34
Last column: nearest neighbours and their distance in Å.
Fractional positions:
La 0.0041 0.0041 0.0000  4 Mn 3.29, 4 Sc 3.61-3.66, 4 La 3.63
La 0.7217 0.2217 0.5000  2 Mn 3.21, 4 Sc 3.37
Mn 0.4849 0.4849 0.0000  2 Sc 2.85
Sc 0.2893 0.7893 0.5000  2 Mn 2.85

Properties
energy of formation	0.1875	eV per atom
energy above the most stable polymorph in this dataset	36	meV/atom